# 1
A relaxed structure of Si2Pb, computed with GGA-PBE.

abc: 6.795 6.795 6.795
angles: 90.00 90.00 90.00
Space group Fm-3m (No. 225)
Symmetry-distinct sites (fractional):
Si 0.250 0.250 0.250
Pb 0.000 0.000 0.000

## Properties
**E**: -3.90 eV per atom
**Formation energy without anion corrections**: 0.951 eV/atom
**Mass density**: 5.6 g cm⁻³
**Distance to the lowest polymorph of the same formula**: 713 meV/atom

=====

# 2
A relaxed structure of Si2Pb, computed with GGA-PBE.

abc: 3.431 3.431 10.938
angles: 90.00 90.00 90.00
Space group I4/mmm (No. 139)
Symmetry-distinct sites (fractional):
Si 0.000 0.000 0.220
Pb 0.000 0.000 0.500

## Properties
**E**: -4.45 eV per atom
**Formation energy without anion corrections**: 0.406 eV/atom
**Mass density**: 6.8 g cm⁻³
**Distance to the lowest polymorph of the same formula**: 168 meV/atom

=====

# 3
A relaxed structure of SiPb2, computed with GGA-PBE.

abc: 9.189 5.326 3.272
angles: 90.00 90.14 90.00
Space group C2/m (No. 12)
Symmetry-distinct sites (fractional):
Si 0.000 0.000 0.000
Pb 0.167 0.500 0.232

## Properties
**E**: -3.87 eV per atom
**Formation energy without anion corrections**: 0.414 eV/atom
**Mass density**: 9.2 g cm⁻³
**Distance to the lowest polymorph of the same formula**: 167 meV/atom

=====

# 4
A relaxed structure of Si2Pb, computed with GGA-PBE.

abc: 11.657 3.671 6.151
angles: 90.00 94.30 90.00
Space group Cm (No. 8)
Symmetry-distinct sites (fractional):
Si 0.000 0.000 0.000
Si 0.113 0.000 0.691
Si 0.246 0.500 0.709
Si 0.367 0.000 0.979
Pb 0.186 0.500 0.211
Pb 0.428 0.000 0.478

## Properties
**E**: -4.49 eV per atom
**Formation energy without anion corrections**: 0.361 eV/atom
**Mass density**: 6.7 g cm⁻³
**Distance to the lowest polymorph of the same formula**: 123 meV/atom

=====

# 5
A relaxed structure of Si2Pb, computed with GGA-PBE.

abc: 3.821 13.024 5.411
angles: 90.00 90.00 90.00
Space group Cmcm (No. 63)
Symmetry-distinct sites (fractional):
Si 0.000 0.016 0.250
Si 0.000 0.375 0.750
Pb 0.000 0.315 0.250

## Properties
**E**: -4.46 eV per atom
**Formation energy without anion corrections**: 0.387 eV/atom
**Mass density**: 6.5 g cm⁻³
**Distance to the lowest polymorph of the same formula**: 149 meV/atom

=====

# 6
A relaxed structure of Si3Pb4, computed with GGA-PBE.

abc: 5.5706 5.5706 6.4851
angles: 90.00 90.00 120.00
Space group P6/mmm (No. 191)
Symmetry-distinct sites (fractional):
Si 0.0000 0.5000 0.0000
Pb 0.0000 0.0000 0.2459
Pb 0.3333 0.6667 0.5000

## Properties
**E**: -4.03 eV per atom
**Formation energy without anion corrections**: 0.415 eV/atom
**Mass density**: 8.7 g cm⁻³

=====

# 7
A relaxed structure of Si4Pb, computed with GGA-PBE.

abc: 5.261 5.261 5.261
angles: 90.00 90.00 90.00
Space group Pm-3m (No. 221)
Symmetry-distinct sites (fractional):
Si 0.000 0.000 0.000
Si 0.000 0.500 0.500
Pb 0.500 0.500 0.500

## Properties
**E**: -3.26 eV per atom
**Formation energy without anion corrections**: 1.821 eV/atom
**Mass density**: 3.6 g cm⁻³

=====

# 8
A relaxed structure of Si2Pb, computed with GGA-PBE.

abc: 11.454 3.775 7.186
angles: 90.00 111.13 90.00
Space group C2/m (No. 12)
Symmetry-distinct sites (fractional):
Si 0.026 0.000 0.175
Si 0.133 0.500 0.348
Pb 0.177 0.500 0.759

## Properties
**E**: -4.53 eV per atom
**Formation energy without anion corrections**: 0.322 eV/atom
**Mass density**: 6.0 g cm⁻³
**Distance to the lowest polymorph of the same formula**: 84 meV/atom

=====

# 9
A relaxed structure of SiPb2, computed with GGA-PBE.

abc: 8.968 8.968 8.968
angles: 90.00 90.00 90.00
Space group Fd-3m (No. 227, origin choice 2)
Symmetry-distinct sites (fractional):
Si 0.125 0.125 0.125
Pb 0.000 0.000 0.500

## Properties
**E**: -3.48 eV per atom
**Formation energy without anion corrections**: 0.799 eV/atom
**Mass density**: 8.1 g cm⁻³
**Distance to the lowest polymorph of the same formula**: 551 meV/atom

=====

# 10
A relaxed structure of Si4Pb3, computed with GGA-PBE.

abc: 6.6856 6.6856 4.6863
angles: 90.00 90.00 120.00
Space group P6/mmm (No. 191)
Symmetry-distinct sites (fractional):
Si 0.0000 0.0000 0.2467
Si 0.3333 0.6667 0.5000
Pb 0.0000 0.5000 0.0000

## Properties
**E**: -3.91 eV per atom
**Formation energy without anion corrections**: 0.776 eV/atom
**Mass density**: 6.7 g cm⁻³

=====

# 11
A relaxed structure of SiPb2, computed with GGA-PBE.

abc: 6.3185 6.3185 11.3750
angles: 90.00 90.00 120.00
Space group P6_3/mmc (No. 194)
Symmetry-distinct sites (fractional):
Si 0.3333 0.6667 0.0421
Pb 0.0000 0.0000 0.0000
Pb 0.1683 0.3367 0.2500

## Properties
**E**: -3.59 eV per atom
**Formation energy without anion corrections**: 0.694 eV/atom
**Mass density**: 7.5 g cm⁻³
**Distance to the lowest polymorph of the same formula**: 446 meV/atom

=====

# 12
A relaxed structure of SiPb5, computed with GGA-PBE.

abc: 5.639 15.659 3.988
angles: 90.00 90.00 90.00
Space group Cmmm (No. 65)
Symmetry-distinct sites (fractional):
Si 0.000 0.000 0.000
Pb 0.000 0.135 0.500
Pb 0.000 0.318 0.000
Pb 0.000 0.500 0.500

## Properties
**E**: -3.79 eV per atom
**Formation energy without anion corrections**: 0.209 eV/atom
**Mass density**: 10.0 g cm⁻³
**Distance to the lowest polymorph of the same formula**: 28 meV/atom

=====

# 13
A relaxed structure of SiPb2, computed with GGA-PBE.

abc: 5.3248 5.3248 6.4734
angles: 90.00 90.00 120.00
Space group P6_3/mmc (No. 194)
Symmetry-distinct sites (fractional):
Si 0.3333 0.6667 0.2500
Pb 0.0000 0.0000 0.0000
Pb 0.3333 0.6667 0.7500

## Properties
**E**: -3.89 eV per atom
**Formation energy without anion corrections**: 0.392 eV/atom
**Mass density**: 9.2 g cm⁻³
**Distance to the lowest polymorph of the same formula**: 144 meV/atom

=====

# 14
A relaxed structure of Si2Pb, computed with GGA-PBE.

abc: 3.698 16.203 4.443
angles: 90.00 90.00 90.00
Space group Cmcm (No. 63)
Symmetry-distinct sites (fractional):
Si 0.000 0.038 0.250
Si 0.000 0.435 0.250
Pb 0.000 0.311 0.750

## Properties
**E**: -4.42 eV per atom
**Formation energy without anion corrections**: 0.427 eV/atom
**Mass density**: 6.6 g cm⁻³
**Distance to the lowest polymorph of the same formula**: 189 meV/atom

=====

# 15
A relaxed structure of SiPb2, computed with GGA-PBE.

abc: 7.679 4.646 9.255
angles: 90.00 90.00 90.00
Space group Pnma (No. 62)
Symmetry-distinct sites (fractional):
Si 0.242 0.250 0.107
Pb 0.018 0.250 0.839
Pb 0.141 0.250 0.423

## Properties
**E**: -3.95 eV per atom
**Formation energy without anion corrections**: 0.327 eV/atom
**Mass density**: 8.9 g cm⁻³
**Distance to the lowest polymorph of the same formula**: 79 meV/atom

=====

# 16
A relaxed structure of Si2Pb, computed with GGA-PBE.

abc: 7.078 3.857 10.329
angles: 90.00 90.00 90.00
Space group Pnma (No. 62)
Symmetry-distinct sites (fractional):
Si 0.048 0.250 0.123
Si 0.209 0.750 0.034
Pb 0.078 0.750 0.346

## Properties
**E**: -4.51 eV per atom
**Formation energy without anion corrections**: 0.344 eV/atom
**Mass density**: 6.2 g cm⁻³
**Distance to the lowest polymorph of the same formula**: 106 meV/atom

=====

# 17
A relaxed structure of Si2Pb, computed with GGA-PBE.

abc: 5.0769 5.0769 5.7780
angles: 90.00 90.00 120.00
Space group P6_3/mmc (No. 194)
Symmetry-distinct sites (fractional):
Si 0.0000 0.0000 0.0000
Si 0.3333 0.6667 0.2500
Pb 0.3333 0.6667 0.7500

## Properties
**E**: -4.13 eV per atom
**Formation energy without anion corrections**: 0.726 eV/atom
**Mass density**: 6.8 g cm⁻³
**Distance to the lowest polymorph of the same formula**: 488 meV/atom

=====

# 18
A relaxed structure of SiPb2, computed with GGA-PBE.

abc: 12.654 5.237 4.886
angles: 90.00 90.00 90.00
Space group Cmcm (No. 63)
Symmetry-distinct sites (fractional):
Si 0.000 0.189 0.250
Pb 0.142 0.265 0.750

## Properties
**E**: -3.94 eV per atom
**Formation energy without anion corrections**: 0.340 eV/atom
**Mass density**: 9.1 g cm⁻³
**Distance to the lowest polymorph of the same formula**: 92 meV/atom

=====

# 19
A relaxed structure of SiPb2, computed with GGA-PBE.

abc: 3.5238 3.5238 7.7237
angles: 90.00 90.00 120.00
Space group P-3m1 (No. 164)
Symmetry-distinct sites (fractional):
Si 0.0000 0.0000 0.0000
Pb 0.3333 0.6667 0.7138

## Properties
**E**: -3.90 eV per atom
**Formation energy without anion corrections**: 0.376 eV/atom
**Mass density**: 8.8 g cm⁻³
**Distance to the lowest polymorph of the same formula**: 128 meV/atom

=====

# 20
A relaxed structure of Si2Pb, computed with GGA-PBE.

abc: 3.7590 3.7590 11.1495
angles: 90.00 90.00 120.00
Space group P6_3/mmc (No. 194)
Symmetry-distinct sites (fractional):
Si 0.3333 0.6667 0.0413
Pb 0.0000 0.0000 0.2500

## Properties
**E**: -4.59 eV per atom
**Formation energy without anion corrections**: 0.261 eV/atom
**Mass density**: 6.4 g cm⁻³
**Distance to the lowest polymorph of the same formula**: 23 meV/atom